Entry 1:
PBE Rb3Ba5Br12, relaxed; DOS(E_F) = 0.09 states/eV per atom; formation energy without anion corrections = -1903 meV per atom; E = -3.532 eV per atom; total magnetic moment = 0.00 Bohr magnetons per cell
1.0
17.2867 0.0000 0.0000
-5.7622 16.2981 0.0000
-5.7622 -8.1490 14.1146
Br Ba Rb
48 20 12
Direct
0.1726 0.0853 0.7122
0.3274 0.5396 0.4127
0.5873 0.6269 0.4147
0.8731 0.5853 0.9127
0.2878 0.8731 0.9604
0.8274 0.9127 0.0396
0.0873 0.1726 0.4604
0.7878 0.3274 0.9147
0.1269 0.7122 0.5396
0.3731 0.4127 0.0853
0.7122 0.1269 0.0396
0.2122 0.6726 0.0853
0.0873 0.9147 0.1269
0.9604 0.3731 0.2878
0.7122 0.5853 0.1726
0.7878 0.4604 0.3731
0.5396 0.3274 0.9127
0.9127 0.0853 0.8731
0.4147 0.1269 0.5873
0.6726 0.4604 0.5873
0.1269 0.4147 0.0873
0.9127 0.8274 0.5396
0.1726 0.0873 0.9604
0.5853 0.7122 0.6726
0.9604 0.5873 0.1726
0.0396 0.6269 0.7122
0.8274 0.9147 0.2878
0.9147 0.8274 0.7878
0.9147 0.0873 0.6269
0.0853 0.9127 0.3731
0.4604 0.7878 0.8731
0.4127 0.0396 0.3274
0.4147 0.2878 0.3274
0.2878 0.4147 0.8274
0.5396 0.2122 0.1269
0.0853 0.1726 0.2122
0.6726 0.2122 0.5853
0.5853 0.8731 0.4127
0.6269 0.0396 0.2122
0.4127 0.3731 0.5853
0.3731 0.9604 0.7878
0.5873 0.9604 0.6726
0.2122 0.5396 0.6269
0.3274 0.7878 0.4147
0.4604 0.6726 0.0873
0.8731 0.2878 0.4604
0.6269 0.5873 0.9147
0.0396 0.4127 0.8274
0.0000 0.5000 0.5000
0.8750 0.2500 0.6250
0.5000 0.5000 0.0000
0.0000 0.0000 0.0000
0.0000 0.0000 0.5000
0.8750 0.6250 0.7500
0.2500 0.8750 0.1250
0.1250 0.7500 0.3750
0.2500 0.3750 0.6250
0.1250 0.3750 0.2500
0.6250 0.7500 0.8750
0.3750 0.2500 0.1250
0.5000 0.5000 0.5000
0.3750 0.1250 0.7500
0.0000 0.5000 0.0000
0.7500 0.1250 0.8750
0.6250 0.8750 0.2500
0.5000 0.0000 0.0000
0.7500 0.6250 0.3750
0.5000 0.0000 0.5000
0.1250 0.8750 0.7500
0.3750 0.7500 0.6250
0.8750 0.1250 0.2500
0.6250 0.3750 0.7500
0.1250 0.2500 0.8750
0.2500 0.6250 0.8750
0.2500 0.1250 0.3750
0.3750 0.6250 0.2500
0.7500 0.3750 0.1250
0.6250 0.2500 0.3750
0.7500 0.8750 0.6250
0.8750 0.7500 0.1250


Entry 2:
PBE Rb12Ba3Br5, relaxed; DOS(E_F) = 0.96 states/eV per atom; formation energy without anion corrections = -604 meV per atom; E = -1.891 eV per atom; total magnetic moment = 11.28 Bohr magnetons per cell
1.0
-14.4774 3.9379 -13.0560
3.3227 -19.6028 0.5022
-5.4808 6.2600 18.0647
Rb Br Ba
48 20 12
Direct
0.8163 0.9089 0.3133
0.0926 0.1837 0.4970
0.0911 0.9074 0.4044
0.5926 0.9970 0.6837
0.5956 0.0030 0.1867
0.9970 0.4044 0.3133
0.5911 0.9044 0.4074
0.0926 0.9089 0.0956
0.3133 0.4089 0.8163
0.4970 0.6837 0.0926
0.9970 0.5926 0.1837
0.0911 0.1837 0.1867
0.4089 0.0956 0.5926
0.6837 0.1867 0.5911
0.5030 0.1867 0.0956
0.4074 0.4044 0.5911
0.5926 0.5956 0.4089
0.0956 0.4089 0.0926
0.9044 0.5911 0.9074
0.9074 0.8163 0.5030
0.6867 0.0956 0.0030
0.0030 0.4074 0.8163
0.1837 0.0926 0.9970
0.0956 0.6867 0.5030
0.0030 0.5956 0.6867
0.3163 0.8133 0.4089
0.1837 0.0911 0.6867
0.1867 0.6837 0.0911
0.9074 0.0911 0.9044
0.8133 0.4970 0.4044
0.4044 0.9970 0.8133
0.8163 0.9074 0.0030
0.9089 0.8163 0.8133
0.3163 0.5030 0.4074
0.4074 0.0030 0.3163
0.4044 0.4074 0.0911
0.9089 0.0926 0.5956
0.5956 0.5926 0.9089
0.5911 0.6867 0.6837
0.5030 0.3163 0.9074
0.9044 0.3133 0.4970
0.1867 0.5030 0.5956
0.4089 0.3133 0.3163
0.4970 0.8133 0.9044
0.6867 0.5911 0.1837
0.3133 0.9044 0.9970
0.8133 0.3163 0.9089
0.6837 0.4970 0.5926
0.0000 0.0000 0.0000
0.2500 0.8750 0.1250
0.6250 0.7500 0.8750
0.6250 0.8750 0.2500
0.0000 0.0000 0.5000
0.3750 0.2500 0.1250
0.7500 0.1250 0.8750
0.5000 0.0000 0.5000
0.2500 0.3750 0.6250
0.5000 0.5000 0.5000
0.5000 0.5000 0.0000
0.0000 0.5000 0.5000
0.5000 0.0000 0.0000
0.8750 0.6250 0.7500
0.1250 0.3750 0.2500
0.0000 0.5000 0.0000
0.8750 0.2500 0.6250
0.3750 0.1250 0.7500
0.7500 0.6250 0.3750
0.1250 0.7500 0.3750
0.2500 0.1250 0.3750
0.1250 0.2500 0.8750
0.8750 0.1250 0.2500
0.7500 0.8750 0.6250
0.6250 0.2500 0.3750
0.7500 0.3750 0.1250
0.2500 0.6250 0.8750
0.3750 0.6250 0.2500
0.1250 0.8750 0.7500
0.6250 0.3750 0.7500
0.8750 0.7500 0.1250
0.3750 0.7500 0.6250


Entry 3:
PBE RbBaBr2, relaxed; DOS(E_F) = 0.97 states/eV per atom; formation energy without anion corrections = -1484 meV per atom; E = -3.043 eV per atom; total magnetic moment = 0.60 Bohr magnetons per cell
1.0
-2.2076 -4.8619 5.7153
6.3917 1.9021 4.0870
-1.7676 4.2394 8.2756
Ba Br Rb
2 4 2
Direct
0.7500 0.2500 0.5000
0.0000 0.0000 0.0000
0.0924 0.6250 0.2500
0.6576 0.1250 0.2500
0.3750 0.3424 0.7500
0.8750 0.9076 0.7500
0.2500 0.7500 0.5000
0.5000 0.5000 0.0000